This record from Alexandria via LeMat-Bulk describes a relaxed structure of ThMgRu2. The functional is PBE.

Properties
energy of formation = -0.256 eV/atom
final energy = -28.59 eV/cell

```
ThMgRu2
1.0
4.625 0.000 0.000
0.000 4.625 0.000
0.000 0.000 3.500
Th Mg Ru
1 1 2
Direct
0.000 0.000 0.000
0.500 0.500 0.000
0.000 0.500 0.500
0.500 0.000 0.500
```